## A
The following is a DFT calculation (PBE) of a relaxed Er6Pd5Pt crystal.

Lattice parameters (Å, degrees): 4.9469 6.8815 7.7999 90.00 71.51 90.00
Fractional positions:
Pt  0.0000  0.0000  0.0000
Pd  0.6655  0.5000  0.6689
Pd  0.3293  0.0000  0.3414
Pd  0.0000  0.5000  0.0000
Pd  0.6707  0.0000  0.6586
Pd  0.3345  0.5000  0.3311
Er  0.8346  0.7508  0.3307
Er  0.8346  0.2492  0.3307
Er  0.5000  0.2472  0.0000
Er  0.5000  0.7528  0.0000
Er  0.1654  0.7508  0.6693
Er  0.1654  0.2492  0.6693

- density (Mg/m³) = 11.41
- magnetic moment (μB/f.u.) = 0.0

***

## B
The following is a DFT calculation (PBE) of a relaxed Er6Pd5Pt crystal.

Lattice parameters (Å, degrees): 6.9648 7.0344 7.0235 59.95 80.35 70.45
Fractional positions:
Er  0.7543  0.0812  0.3298
Er  0.2457  0.5890  0.3298
Er  0.2522  0.2445  0.0000
Er  0.7478  0.7555  0.0000
Er  0.7543  0.4110  0.6702
Er  0.2457  0.9188  0.6702
Pd  0.5000  0.1699  0.6602
Pd  0.0000  0.3352  0.3295
Pd  0.5000  0.5000  0.0000
Pd  0.0000  0.6648  0.6705
Pd  0.5000  0.8301  0.3398
Pt  0.0000  0.0000  0.0000

- density (Mg/m³) = 10.24
- magnetic moment (μB/f.u.) = 0.0

***

The data favor A; the next most stable structure lies 15.7 kJ/mol of atoms above it.

***

## A
The following is a DFT calculation (PBE) of a relaxed ErPd2Pt2 crystal.

Lattice parameters (Å, degrees): 4.9546 4.9546 5.3820 117.41 117.41 90.00
Fractional positions:
Er  0.0000  0.0000  0.0000
Pd  0.6540  0.6540  0.3080
Pd  0.3460  0.3460  0.6920
Pt  0.2500  0.7500  0.5000
Pt  0.7500  0.2500  0.5000

- density (Mg/m³) = 12.75
- magnetic moment (μB/f.u.) = 0.0

***

## B
The following is a DFT calculation (PBE) of a relaxed ErPd2Pt2 crystal.

Lattice parameters (Å, degrees): 4.7047 4.7047 10.6286 90.00 90.00 120.00
Fractional positions:
Er  0.0000  0.0000  0.2500
Er  0.0000  0.0000  0.7500
Pd  0.3333  0.6667  0.5005
Pd  0.6667  0.3333  0.0005
Pd  0.6667  0.3333  0.4995
Pd  0.3333  0.6667  0.9995
Pt  0.6667  0.3333  0.7500
Pt  0.0000  0.0000  0.0000
Pt  0.0000  0.0000  0.5000
Pt  0.3333  0.6667  0.2500

- density (Mg/m³) = 12.56
- magnetic moment (μB/f.u.) = 0.0

***

The data favor B; the next most stable structure lies 12.0 kJ/mol of atoms above it.

***

## A
The following is a DFT calculation (PBE) of a relaxed ErPdPt3 crystal.

Lattice parameters (Å, degrees): 5.5133 6.0444 6.0444 107.17 90.00 90.00
Fractional positions:
Er  0.2500  0.2675  0.7325
Er  0.7500  0.7325  0.2675
Pd  0.0000  0.0000  0.0000
Pd  0.5000  0.0000  0.0000
Pt  0.2500  0.7616  0.2384
Pt  0.7500  0.2384  0.7616
Pt  0.2500  0.7058  0.6645
Pt  0.7500  0.2942  0.3355
Pt  0.2500  0.3355  0.2942
Pt  0.7500  0.6645  0.7058

- density (Mg/m³) = 14.82
- magnetic moment (μB/f.u.) = 0.0

***

## B
The following is a DFT calculation (PBE) of a relaxed ErPdPt3 crystal.

Lattice parameters (Å, degrees): 5.0554 5.5473 7.6598 111.23 90.00 89.99
Fractional positions:
Er  0.7500  0.1861  0.3722
Er  0.2500  0.8139  0.6278
Pd  0.7500  0.6871  0.3742
Pd  0.2500  0.3129  0.6258
Pt  0.7500  0.6068  0.7416
Pt  0.7500  0.1348  0.7416
Pt  0.2500  0.8652  0.2584
Pt  0.2500  0.3932  0.2584
Pt  0.0000  0.0000  0.0000
Pt  0.5000  0.0000  0.0000

- density (Mg/m³) = 14.25
- magnetic moment (μB/f.u.) = 0.0

***

The data favor A; the next most stable structure lies 3.0 kJ/mol of atoms above it.